[1]
# TmBiO3

A geometry-optimized TmBiO3 structure (PBE, Alexandria via LeMat-Bulk).

Computed properties:
Calculated volume ... 15.9 A^3/atom
Formation energy without anion corrections ... -2387 meV/atom

a = 5.964 Å, b = 6.784 Å, c = 7.925 Å
α = 98.54°, β = 90.00°, γ = 90.00°
Sites, in units of the cell vectors:
1 Tm 0.240 0.923 0.074
2 Tm 0.740 0.077 0.426
3 Tm 0.260 0.923 0.574
4 Tm 0.760 0.077 0.926
5 O 0.346 0.616 0.085
6 O 0.922 0.781 0.955
7 O 0.597 0.990 0.164
8 O 0.422 0.219 0.545
9 O 0.154 0.616 0.585
10 O 0.903 0.990 0.664
11 O 0.578 0.781 0.455
12 O 0.403 0.010 0.836
13 O 0.097 0.010 0.336
14 O 0.846 0.384 0.415
15 O 0.654 0.384 0.915
16 O 0.078 0.219 0.045
17 Bi 0.709 0.639 0.136
18 Bi 0.791 0.639 0.636
19 Bi 0.291 0.361 0.864
20 Bi 0.209 0.361 0.364

---

[2]
# TmBiO

A geometry-optimized TmBiO structure (PBE, Alexandria via LeMat-Bulk).

Computed properties:
Calculated volume ... 22.6 A^3/atom
Formation energy without anion corrections ... -2148 meV/atom

a = 3.796 Å, b = 3.796 Å, c = 9.396 Å
α = 91.27°, β = 91.32°, γ = 89.90°
Sites, in units of the cell vectors:
1 Bi 0.785 0.840 0.547
2 Bi 0.342 0.393 0.293
3 O 0.313 0.867 0.920
4 O 0.814 0.366 0.920
5 Tm 0.819 0.872 0.036
6 Tm 0.308 0.361 0.803

---

[3]
# TmBiO3

A geometry-optimized TmBiO3 structure (PBE, Alexandria via LeMat-Bulk).

Computed properties:
Calculated volume ... 15.5 A^3/atom
Formation energy without anion corrections ... -2420 meV/atom

a = 6.104 Å, b = 6.104 Å, c = 6.104 Å
α = 58.47°, β = 58.47°, γ = 58.47°
Sites, in units of the cell vectors:
1 Tm 0.778 0.778 0.778
2 Tm 0.278 0.278 0.278
3 Bi 0.991 0.991 0.991
4 Bi 0.491 0.491 0.491
5 O 0.085 0.640 0.427
6 O 0.640 0.427 0.085
7 O 0.427 0.085 0.640
8 O 0.140 0.585 0.927
9 O 0.585 0.927 0.140
10 O 0.927 0.140 0.585

---

[4]
# TmBi2O6

A geometry-optimized TmBi2O6 structure (PBE, Alexandria via LeMat-Bulk).

Computed properties:
Calculated volume ... 13.1 A^3/atom
Formation energy without anion corrections ... -1601 meV/atom

a = 3.813 Å, b = 3.813 Å, c = 8.540 Å
α = 102.90°, β = 102.90°, γ = 90.00°
Sites, in units of the cell vectors:
1 O 0.416 0.916 0.833
2 O 0.584 0.084 0.167
3 O 0.750 0.250 0.500
4 O 0.250 0.750 0.500
5 O 0.084 0.584 0.167
6 O 0.916 0.416 0.833
7 Tm 0.000 0.000 0.000
8 Bi 0.661 0.661 0.323
9 Bi 0.339 0.339 0.677

---

[5]
# TmBi3O6

A geometry-optimized TmBi3O6 structure (PBE, Alexandria via LeMat-Bulk).

Computed properties:
Calculated volume ... 15.7 A^3/atom
Formation energy without anion corrections ... -1793 meV/atom

a = 5.839 Å, b = 6.327 Å, c = 8.528 Å
α = 90.00°, β = 89.52°, γ = 90.00°
Sites, in units of the cell vectors:
1 O 0.829 0.668 0.563
2 O 0.846 0.690 0.926
3 O 0.350 0.562 0.741
4 O 0.346 0.810 0.426
5 O 0.650 0.438 0.259
6 O 0.154 0.310 0.074
7 O 0.150 0.062 0.759
8 O 0.171 0.332 0.437
9 O 0.671 0.168 0.937
10 O 0.329 0.832 0.063
11 O 0.850 0.938 0.241
12 O 0.654 0.190 0.574
13 Bi 0.000 0.000 0.500
14 Bi 0.512 0.967 0.754
15 Bi 0.012 0.533 0.254
16 Bi 0.988 0.467 0.746
17 Bi 0.500 0.500 0.000
18 Bi 0.488 0.033 0.246
19 Tm 0.000 0.000 0.000
20 Tm 0.500 0.500 0.500

---

[6]
# Tm2UBiO8

A geometry-optimized Tm2UBiO8 structure (PBE, Alexandria via LeMat-Bulk).

Computed properties:
Calculated volume ... 14.9 A^3/atom
Formation energy without anion corrections ... -2809 meV/atom

a = 5.041 Å, b = 5.045 Å, c = 7.035 Å
α = 90.00°, β = 90.00°, γ = 91.78°
Sites, in units of the cell vectors:
1 O 0.687 0.688 0.500
2 O 0.189 0.810 0.769
3 O 0.189 0.811 0.231
4 O 0.705 0.705 0.000
5 O 0.811 0.190 0.231
6 O 0.811 0.189 0.769
7 O 0.313 0.312 0.500
8 O 0.295 0.295 0.000
9 Bi 0.000 0.000 0.500
10 Tm 0.500 0.500 0.249
11 Tm 0.500 0.500 0.751
12 U 0.000 0.000 0.000

---

Please write out number 3 again, unchanged.
# TmBiO3

A geometry-optimized TmBiO3 structure (PBE, Alexandria via LeMat-Bulk).

Computed properties:
Calculated volume ... 15.5 A^3/atom
Formation energy without anion corrections ... -2420 meV/atom

a = 6.104 Å, b = 6.104 Å, c = 6.104 Å
α = 58.47°, β = 58.47°, γ = 58.47°
Sites, in units of the cell vectors:
1 Tm 0.778 0.778 0.778
2 Tm 0.278 0.278 0.278
3 Bi 0.991 0.991 0.991
4 Bi 0.491 0.491 0.491
5 O 0.085 0.640 0.427
6 O 0.640 0.427 0.085
7 O 0.427 0.085 0.640
8 O 0.140 0.585 0.927
9 O 0.585 0.927 0.140
10 O 0.927 0.140 0.585

---

What did the second record say?
# TmBiO

A geometry-optimized TmBiO structure (PBE, Alexandria via LeMat-Bulk).

Computed properties:
Calculated volume ... 22.6 A^3/atom
Formation energy without anion corrections ... -2148 meV/atom

a = 3.796 Å, b = 3.796 Å, c = 9.396 Å
α = 91.27°, β = 91.32°, γ = 89.90°
Sites, in units of the cell vectors:
1 Bi 0.785 0.840 0.547
2 Bi 0.342 0.393 0.293
3 O 0.313 0.867 0.920
4 O 0.814 0.366 0.920
5 Tm 0.819 0.872 0.036
6 Tm 0.308 0.361 0.803